# NaZrBeS3, optimized geometry, DFT PBE
# Uncorrected energy (eV/atom): -5.5561
data_NaZrBeS3
_chemical_formula_sum 'Na4 Zr4 Be4 S12'
_space_group_name_H-M_alt 'C m c m'
_space_group_IT_number 63
_space_group_name_Hall '-C 2c 2'
_cell_length_a 3.529
_cell_length_b 13.195
_cell_length_c 9.959
_cell_angle_alpha 90.00
_cell_angle_beta 90.00
_cell_angle_gamma 90.00
loop_
_atom_site_label
_atom_site_fract_x
_atom_site_fract_y
_atom_site_fract_z
Na1 0.000 0.249 0.250
Zr1 0.000 0.500 0.000
Be1 0.000 0.038 0.750
S1 0.000 0.132 0.580
S2 0.000 0.437 0.750



# Pr2HoMg3CdIn2, optimized geometry, DFT PBE
# Uncorrected energy (eV/atom): -3.1729
data_Pr2HoMg3CdIn2
_chemical_formula_sum 'Pr4 Ho2 Mg6 Cd2 In4'
_space_group_name_H-M_alt 'A m m 2'
_space_group_IT_number 38
_space_group_name_Hall 'A 2 -2'
_cell_length_a 4.732
_cell_length_b 13.146
_cell_length_c 7.737
_cell_angle_alpha 90.00
_cell_angle_beta 90.00
_cell_angle_gamma 90.00
loop_
_atom_site_label
_atom_site_fract_x
_atom_site_fract_y
_atom_site_fract_z
Pr1 0.000 0.211 0.000
Ho1 0.000 0.000 0.365
Mg1 0.500 0.000 0.025
Mg2 0.500 0.120 0.666
Cd1 0.000 0.000 0.777
In1 0.500 0.162 0.289



# SrYGa4Pt2, optimized geometry, DFT PBE
# Uncorrected energy (eV/atom): -4.8396
data_SrYGa4Pt2
_chemical_formula_sum 'Sr2 Y2 Ga8 Pt4'
_space_group_name_H-M_alt 'A m m 2'
_space_group_IT_number 38
_space_group_name_Hall 'A 2 -2'
_cell_length_a 6.904
_cell_length_b 4.402
_cell_length_c 10.459
_cell_angle_alpha 90.00
_cell_angle_beta 90.00
_cell_angle_gamma 90.00
loop_
_atom_site_label
_atom_site_fract_x
_atom_site_fract_y
_atom_site_fract_z
Sr1 0.000 0.000 0.000
Y1 0.500 0.000 0.840
Ga1 0.199 0.000 0.285
Ga2 0.310 0.000 0.558
Pt1 0.000 0.000 0.715
Pt2 0.500 0.000 0.127



# NaGdP4O12, optimized geometry, DFT PBE
# Uncorrected energy (eV/atom): -7.2677
data_NaGdP4O12
_chemical_formula_sum 'Na4 Gd4 P16 O48'
_space_group_name_H-M_alt 'P 1 21/c 1'
_space_group_IT_number 14
_space_group_name_Hall '-P 2ybc'
_cell_length_a 7.113
_cell_length_b 12.901
_cell_length_c 11.912
_cell_angle_alpha 90.00
_cell_angle_beta 126.01
_cell_angle_gamma 90.00
loop_
_atom_site_label
_atom_site_fract_x
_atom_site_fract_y
_atom_site_fract_z
Na1 0.064 0.221 0.064
Gd1 0.462 0.214 0.976
P1 0.002 0.602 0.255
P2 0.115 0.615 0.737
P3 0.341 0.630 0.192
P4 0.424 0.090 0.695
O1 0.084 0.514 0.800
O2 0.089 0.629 0.161
O3 0.101 0.144 0.902
O4 0.194 0.604 0.408
O5 0.208 0.168 0.294
O6 0.218 0.694 0.850
O7 0.298 0.579 0.707
O8 0.326 0.717 0.104
O9 0.342 0.165 0.580
O10 0.342 0.523 0.123
O11 0.350 0.107 0.788
O12 0.473 0.129 0.155